DFT (PBE-GGA) results for a geometry-optimized FeTcH2 structure.

```
FeTcH2
1.0
-3.069 -0.438 2.504
2.526 -0.093 3.081
-0.555 3.738 3.145
H Tc Fe
4 2 2
Direct
0.591 0.125 0.250
0.159 0.625 0.250
0.375 0.409 0.750
0.875 0.841 0.750
0.000 0.000 0.000
0.750 0.250 0.500
0.500 0.500 0.000
0.250 0.750 0.500
```

As for the energy above the lowest structure with this stoichiometry: 153 meV per atom.

***

DFT (PBE-GGA) results for a geometry-optimized Fe2TcH2 structure.

```
Fe2TcH2
1.0
-4.180 -2.177 3.086
0.241 -4.747 -3.022
1.783 -0.998 1.711
H Tc Fe
4 2 4
Direct
0.281 0.781 0.000
0.781 0.719 0.000
0.719 0.219 0.000
0.219 0.281 0.000
0.000 0.000 0.000
0.500 0.500 0.000
0.135 0.635 0.500
0.635 0.865 0.500
0.865 0.365 0.500
0.365 0.135 0.500
```

As for the energy above the lowest structure with this stoichiometry: 81 meV per atom.

***

DFT (PBE-GGA) results for a geometry-optimized Ti2FeTcH structure.

```
Ti2FeTcH
1.0
-2.254 1.978 -3.049
-3.586 -0.628 2.244
0.441 2.796 1.488
H Ti Tc Fe
1 2 1 1
Direct
0.000 0.000 0.000
0.000 0.500 0.000
0.500 0.000 0.000
0.500 0.500 0.500
0.000 0.000 0.500
```

***

DFT (PBE-GGA) results for a geometry-optimized VFe2TcH structure.

```
VFe2TcH
1.0
3.639 0.000 0.000
0.000 3.639 0.000
0.000 0.000 3.874
H V Tc Fe
1 1 1 2
Direct
0.000 0.000 0.000
0.500 0.500 0.500
0.000 0.000 0.500
0.000 0.500 0.000
0.500 0.000 0.000
```

As for the energy above the lowest structure with this stoichiometry: 22 meV per atom.

***

DFT (PBE-GGA) results for a geometry-optimized VFe2TcH structure.

```
VFe2TcH
1.0
3.635 0.000 0.000
0.000 3.635 0.000
0.000 0.000 3.810
H V Tc Fe
1 1 1 2
Direct
0.000 0.000 0.000
0.000 0.000 0.500
0.500 0.500 0.500
0.000 0.500 0.000
0.500 0.000 0.000
```

As for the energy above the lowest structure with this stoichiometry: 0 meV per atom.

***

DFT (PBE-GGA) results for a geometry-optimized V2FeTcH structure.

```
V2FeTcH
1.0
-0.672 2.174 -3.381
2.273 -2.622 -2.138
-2.627 -1.773 -0.618
H V Tc Fe
1 2 1 1
Direct
0.000 0.000 0.000
0.000 0.500 0.000
0.500 0.000 0.000
0.500 0.500 0.500
0.000 0.000 0.500
```

***

DFT (PBE-GGA) results for a geometry-optimized FeTc2HW structure.

```
FeTc2HW
1.0
3.876 0.000 0.000
0.000 3.876 0.000
0.000 0.000 3.938
H Tc W Fe
1 2 1 1
Direct
0.000 0.000 0.000
0.000 0.500 0.000
0.500 0.000 0.000
0.000 0.000 0.500
0.500 0.500 0.500
```

As for the energy above the lowest structure with this stoichiometry: 82 meV per atom.

***

DFT (PBE-GGA) results for a geometry-optimized Fe2TcHW structure.

```
Fe2TcHW
1.0
-3.713 -0.162 -0.196
0.207 -0.241 -3.708
0.154 -3.848 0.258
H Tc W Fe
1 1 1 2
Direct
0.000 0.000 0.000
0.500 0.500 0.500
0.000 0.000 0.500
0.000 0.500 0.000
0.500 0.000 0.000
```

As for the energy above the lowest structure with this stoichiometry: 41 meV per atom.

***

DFT (PBE-GGA) results for a geometry-optimized FeTcHW2 structure.

```
FeTcHW2
1.0
4.026 0.000 0.000
0.000 4.026 0.000
0.000 0.000 3.693
H Tc W Fe
1 1 2 1
Direct
0.000 0.000 0.000
0.500 0.500 0.500
0.000 0.500 0.000
0.500 0.000 0.000
0.000 0.000 0.500
```

***

DFT (PBE-GGA) results for a geometry-optimized Fe2TcHW structure.

```
Fe2TcHW
1.0
3.737 0.000 0.000
0.000 3.737 0.000
0.000 0.000 3.821
H Tc W Fe
1 1 1 2
Direct
0.000 0.000 0.000
0.000 0.000 0.500
0.500 0.500 0.500
0.000 0.500 0.000
0.500 0.000 0.000
```

As for the energy above the lowest structure with this stoichiometry: 0 meV per atom.

***

DFT (PBE-GGA) results for a geometry-optimized FeTc2HW structure.

```
FeTc2HW
1.0
3.942 0.000 0.000
0.000 3.942 0.000
0.000 0.000 3.753
H Tc W Fe
1 2 1 1
Direct
0.000 0.000 0.000
0.000 0.500 0.000
0.500 0.000 0.000
0.500 0.500 0.500
0.000 0.000 0.500
```

As for the energy above the lowest structure with this stoichiometry: 0 meV per atom.

***

DFT (PBE-GGA) results for a geometry-optimized ZnFe2TcH structure.

```
ZnFe2TcH
1.0
3.749 0.000 0.000
0.000 3.749 0.000
0.000 0.000 3.888
H Zn Tc Fe
1 1 1 2
Direct
0.000 0.000 0.000
0.500 0.500 0.500
0.000 0.000 0.500
0.000 0.500 0.000
0.500 0.000 0.000
```

***

Electronic total energy (computed, eV per formula unit): -24.903; -32.464; -39.950; -39.828; -39.938; -41.066; -44.822; -43.124; -47.334; -43.329; -45.230; -31.463
Total moment (computed, μB per cell): 3.1; 2.0; 0.0; 2.1; 1.2; 0.5; 1.5; 0.2; 1.1; 0.8; 1.5; 5.7